CaPrPb2 | PBE | relaxed

Properties
Total DFT energy (no corrections): -16.28 eV/f.u.
Density of states at the Fermi level: 0.467 states/eV per atom

abc: 5.888 5.888 3.614
angles: 90.00 90.00 102.17
Sites, in units of the cell vectors:
Ca: 0.000 0.000 0.000
Pr: 0.500 0.500 0.000
Pb: 0.000 0.500 0.500
Pb: 0.500 0.000 0.500